Here is a crystal of BSeBr2O relaxed with PBEsol from Alexandria. Energies are from meta-GGA SCAN.

Unit cell a=4.2619 b=4.6359 c=4.6359 alpha=90.00 beta=90.00 gamma=90.00
With the nearest neighbours (Å) after each atom.
Positions (direct):
O 0.5000 0.5000 0.5000  8 Br 3.15, 4 Se 3.28
B 0.0000 0.0000 0.0000  2 Se 2.13, 4 Br 2.32
Se 0.5000 0.0000 0.0000  2 B 2.13
Br 0.0000 0.0000 0.5000  2 B 2.32
Br 0.0000 0.5000 0.0000  2 B 2.32

## Properties
The calculation puts the density at 4.81 g cm⁻³. As for the space group: No. 123. The calculation puts the total energy at -67.174 eV for the cell shown.

=====

Here is a crystal of CsScBr2 relaxed with PBEsol from Alexandria. Energies are from meta-GGA SCAN.

Unit cell a=3.8718 b=3.8718 c=10.5214 alpha=79.40 beta=79.40 gamma=60.00
With the nearest neighbours (Å) after each atom.
Positions (direct):
Cs 0.0000 0.0000 0.0000  2 Br 3.52, 6 Cs 3.87
Sc 0.5000 0.5000 0.5000  6 Br 2.76
Br 0.8857 0.8857 0.3428  3 Sc 2.76
Br 0.1143 0.1143 0.6572  3 Sc 2.76

## Properties
The calculation puts the density at 4.20 g cm⁻³. As for the space group: No. 166. The calculation puts the total energy at -95.385 eV for the cell shown.

=====

Here is a crystal of LiSc relaxed with PBEsol from Alexandria. Energies are from meta-GGA SCAN.

Unit cell a=3.1960 b=3.1960 c=10.0752 alpha=90.00 beta=90.00 gamma=120.00
With the nearest neighbours (Å) after each atom.
Positions (direct):
Sc 0.3333 0.6667 0.6236  9 Sc 3.10-3.20, 3 Li 3.18
Sc 0.6667 0.3333 0.3764  9 Sc 3.10-3.20, 3 Li 3.18
Li 0.3333 0.6667 0.1197  9 Li 3.04-3.20, 3 Sc 3.18
Li 0.6667 0.3333 0.8803  9 Li 3.04-3.20, 3 Sc 3.18

## Properties
The calculation puts the density at 1.93 g cm⁻³. As for the formation enthalpy at 0 K: 0.2 eV per formula unit. As for the space group: No. 164. Its energy above the lowest structure with this stoichiometry is 0.000 eV per atom.

=====

Here is a crystal of MgOsO2F relaxed with PBEsol from Alexandria. Energies are from meta-GGA SCAN.

Unit cell a=3.5307 b=3.9081 c=3.9081 alpha=90.00 beta=90.00 gamma=90.00
With the nearest neighbours (Å) after each atom.
Positions (direct):
Mg 0.0000 0.0000 0.0000  2 F 1.77, 4 O 1.95
Os 0.5000 0.5000 0.5000  8 O 2.63, 4 F 2.76
O 0.0000 0.0000 0.5000  2 Mg 1.95
O 0.0000 0.5000 0.0000  2 Mg 1.95
F 0.5000 0.0000 0.0000  2 Mg 1.77

## Properties
The calculation puts the density at 8.18 g cm⁻³. As for the space group: No. 123. The calculation puts the total energy at -96.037 eV for the cell shown.

=====

Here is a crystal of La3TeH relaxed with PBEsol from Alexandria. Energies are from meta-GGA SCAN.

Unit cell a=5.9396 b=5.9396 c=5.9396 alpha=90.00 beta=90.00 gamma=90.00
With the nearest neighbours (Å) after each atom.
Positions (direct):
H 0.5000 0.5000 0.5000  12 La 4.20
Te 0.0000 0.0000 0.0000  6 La 2.97
La 0.0000 0.5000 0.0000  2 Te 2.97
La 0.0000 0.0000 0.5000  2 Te 2.97
La 0.5000 0.0000 0.0000  2 Te 2.97

## Properties
The calculation puts the density at 4.32 g cm⁻³. As for the space group: No. 221. The calculation puts the total energy at -168.463 eV for the cell shown.

=====

Here is a crystal of NaFeBiSe2 relaxed with PBEsol from Alexandria. Energies are from meta-GGA SCAN.

Unit cell a=4.8325 b=4.8325 c=5.1025 alpha=90.00 beta=90.00 gamma=90.00
With the nearest neighbours (Å) after each atom.
Positions (direct):
Na 0.5000 0.5000 0.5000  4 Bi 3.42, 8 Se 3.51
Bi 0.0000 0.0000 0.5000  2 Fe 2.55
Se 0.0000 0.5000 0.0000  2 Fe 2.42
Se 0.5000 0.0000 0.0000  2 Fe 2.42
Fe 0.0000 0.0000 0.0000  4 Se 2.42, 2 Bi 2.55

## Properties
The calculation puts the density at 6.21 g cm⁻³. As for the space group: No. 123. The calculation puts the total energy at -141.227 eV for the cell shown.

=====

Here is a crystal of SrCrTe2I relaxed with PBEsol from Alexandria. Energies are from meta-GGA SCAN.

Unit cell a=5.3071 b=5.3071 c=5.4785 alpha=90.00 beta=90.00 gamma=90.00
With the nearest neighbours (Å) after each atom.
Positions (direct):
I 0.0000 0.0000 0.5000  2 Cr 2.74
Sr 0.5000 0.5000 0.5000  4 I 3.75, 8 Te 3.81
Te 0.0000 0.5000 0.0000  2 Cr 2.65
Te 0.5000 0.0000 0.0000  2 Cr 2.65
Cr 0.0000 0.0000 0.0000  4 Te 2.65, 2 I 2.74

## Properties
The calculation puts the density at 5.61 g cm⁻³. As for the space group: No. 123. The calculation puts the total energy at -155.843 eV for the cell shown.

=====

Here is a crystal of In2BrCl relaxed with PBEsol from Alexandria. Energies are from meta-GGA SCAN.

Unit cell a=3.7259 b=5.2485 c=6.4043 alpha=114.19 beta=106.91 gamma=90.00
With the nearest neighbours (Å) after each atom.
Positions (direct):
In 0.0097 0.0097 0.0194  2 Cl 3.01, 4 Br 3.22
In 0.2500 0.7500 0.5001  2 Br 3.18, 4 Cl 3.23, 2 In 3.43
Br 0.5171 0.5171 0.0341  6 In 3.18-3.22, 2 Cl 3.48
Cl 0.7232 0.2232 0.4464  6 In 3.01-3.23

## Properties
The calculation puts the density at 5.29 g cm⁻³. As for the space group: No. 44. Its energy above the lowest structure with this stoichiometry is 0.091 eV per atom.

=====

Here is a crystal of KNbReB2 relaxed with PBEsol from Alexandria. Energies are from meta-GGA SCAN.

Unit cell a=4.0864 b=4.0864 c=4.5874 alpha=90.00 beta=90.00 gamma=90.00
With the nearest neighbours (Å) after each atom.
Positions (direct):
Re 0.0000 0.0000 0.5000  2 K 2.29
Nb 0.5000 0.5000 0.5000  4 Re 2.89, 8 B 3.07
B 0.0000 0.5000 0.0000  2 K 2.04
B 0.5000 0.0000 0.0000  2 K 2.04
K 0.0000 0.0000 0.0000  4 B 2.04

## Properties
The calculation puts the density at 7.37 g cm⁻³. As for the formation enthalpy at 0 K: 17.9 eV per formula unit. As for the space group: No. 123.

=====

Here is a crystal of Be3SO relaxed with PBEsol from Alexandria. Energies are from meta-GGA SCAN.

Unit cell a=3.6044 b=3.6044 c=3.6044 alpha=90.00 beta=90.00 gamma=90.00
With the nearest neighbours (Å) after each atom.
Positions (direct):
Be 0.0000 0.5000 0.0000  2 O 1.80
Be 0.0000 0.0000 0.5000  2 O 1.80
Be 0.5000 0.0000 0.0000  2 O 1.80
S 0.5000 0.5000 0.5000  12 Be 2.55
O 0.0000 0.0000 0.0000  6 Be 1.80

## Properties
The calculation puts the density at 2.66 g cm⁻³. As for the space group: No. 221. The calculation puts the total energy at -29.752 eV for the cell shown.

=====

Here is a crystal of GeCSe3 relaxed with PBEsol from Alexandria. Energies are from meta-GGA SCAN.

Unit cell a=4.8861 b=4.8861 c=4.8861 alpha=90.00 beta=90.00 gamma=90.00
With the nearest neighbours (Å) after each atom.
Positions (direct):
Ge 0.0000 0.0000 0.0000  6 Se 2.44
C 0.5000 0.5000 0.5000  12 Se 3.45
Se 0.0000 0.5000 0.0000  2 Ge 2.44
Se 0.0000 0.0000 0.5000  2 Ge 2.44
Se 0.5000 0.0000 0.0000  2 Ge 2.44

## Properties
The calculation puts the density at 4.58 g cm⁻³. As for the space group: No. 221. The calculation puts the total energy at -80.079 eV for the cell shown.

=====

Here is a crystal of RbTaSn2 relaxed with PBEsol from Alexandria. Energies are from meta-GGA SCAN.

Unit cell a=5.1976 b=5.1976 c=5.1976 alpha=60.00 beta=60.00 gamma=60.00
With the nearest neighbours (Å) after each atom.
Positions (direct):
Sn 0.2500 0.2500 0.2500  4 Ta 3.18, 4 Rb 3.18
Sn 0.7500 0.7500 0.7500  4 Ta 3.18, 4 Rb 3.18
Rb 0.0000 0.0000 0.0000  8 Sn 3.18
Ta 0.5000 0.5000 0.5000  8 Sn 3.18

## Properties
The calculation puts the density at 8.43 g cm⁻³. As for the formation enthalpy at 0 K: 3.2 eV per formula unit. As for the space group: No. 225.

=====

Which formula does entry 12 have?
RbTaSn2